(1)
## Ce2SmDyS4 (PBE)

Data for Ce2SmDyS4 after structural relaxation.

Output
space-group type = No. 10
V = 22.50 Å³ per atom
formation energy from raw total energies = -2033 meV/atom
M_tot = 0.20 μB/atom
crystal system = monoclinic

```
8
Lattice="3.9765 0.0000 0.0000 0.0000 6.9029 0.1210 0.0000 -2.4103 6.5158" Properties=species:S:1:pos:R:3 pbc="T T T"
Ce 1.9883 -1.2052 3.2579
Ce 0.0000 2.2463 3.3184
Sm 1.9883 3.4514 0.0605
Dy 0.0000 0.0000 0.0000
S 1.9883 1.0930 1.6004
S 1.9883 3.3996 5.0363
S 0.0000 -0.1143 4.9530
S 0.0000 4.6068 1.6838
```

=====

(2)
## Ce4Sm3DyS8 (PBE)

Data for Ce4Sm3DyS8 after structural relaxation.

Output
space-group type = No. 166
V = 22.71 Å³ per atom
formation energy from raw total energies = -2036 meV/atom
M_tot = 0.18 μB/atom
crystal system = trigonal

```
16
Lattice="-4.1807 1.5674 6.6375 4.7442 -4.9525 4.1577 3.2089 5.9930 -4.2145" Properties=species:S:1:pos:R:3 pbc="T T T"
Ce -2.0904 0.7837 3.3188
Ce -0.4859 3.7802 1.2115
Ce 0.0000 0.0000 0.0000
Ce 1.6044 2.9965 -2.1073
Sm 0.2817 -1.6925 5.3976
Sm 1.8861 1.3040 3.2903
Sm 3.9765 0.5203 -0.0284
Dy 2.3721 -2.4762 2.0788
S 5.7086 2.6830 0.5186
S 4.0821 -0.3547 2.6549
S 1.7568 2.1493 0.5990
S 3.5894 3.4775 3.8831
S 0.1829 -0.8696 2.6976
S 2.0154 0.4586 5.9816
S -0.3098 2.9626 3.9257
S -1.9363 -0.0751 6.0620
```

=====

(3)
## Ce2SmDy3S6 (PBE)

Data for Ce2SmDy3S6 after structural relaxation.

Output
space-group type = No. 12
V = 21.99 Å³ per atom
formation energy from raw total energies = -2026 meV/atom
M_tot = 0.13 μB/atom
crystal system = monoclinic

```
12
Lattice="6.8370 -0.0043 -0.0019 -3.4206 5.9199 -0.0019 -1.1418 -1.9770 6.5235" Properties=species:S:1:pos:R:3 pbc="T T T"
Ce 0.0008 3.9439 -0.0019
Ce 3.4156 1.9717 -0.0019
Sm 0.0000 0.0000 0.0000
Dy -2.2980 3.9533 3.2598
Dy 4.5726 -0.0147 3.2598
Dy 1.1373 1.9693 3.2598
S 3.4151 1.9686 4.8161
S 2.2778 3.9440 1.6931
S -1.1405 1.9700 1.7036
S -0.0016 3.9419 4.8161
S -0.0032 -0.0055 4.8266
S 2.2763 -0.0033 1.7036
```

=====

(4)
## Ce3Sm4DyS8 (PBE)

Data for Ce3Sm4DyS8 after structural relaxation.

Output
space-group type = No. 166
V = 22.65 Å³ per atom
formation energy from raw total energies = -2033 meV/atom
M_tot = 0.12 μB/atom
crystal system = trigonal

```
16
Lattice="-1.5826 -6.5116 4.3803 6.4997 1.4107 4.4451 -5.5680 5.6849 -0.8733" Properties=species:S:1:pos:R:3 pbc="T T T"
Ce 2.4585 -2.5504 4.4127
Ce -0.3255 0.2921 3.9761
Ce 0.4659 3.5478 1.7859
Sm -0.7913 -3.2558 2.1902
Sm -3.5753 -0.4133 1.7535
Sm 0.0000 0.0000 0.0000
Sm -2.7840 2.8425 -0.4366
Dy 3.2499 0.7054 2.2225
S 4.4639 -0.5469 4.4032
S 1.7211 2.2534 3.9731
S -1.5592 1.5614 1.7593
S 3.6608 -3.8510 6.6258
S -4.3118 4.4351 1.3263
S 0.9082 -0.9773 6.1929
S -2.3720 -1.6693 3.9791
S -5.1148 1.1310 3.5489
```

=====

Repeat the second record exactly.
## Ce4Sm3DyS8 (PBE)

Data for Ce4Sm3DyS8 after structural relaxation.

Output
space-group type = No. 166
V = 22.71 Å³ per atom
formation energy from raw total energies = -2036 meV/atom
M_tot = 0.18 μB/atom
crystal system = trigonal

```
16
Lattice="-4.1807 1.5674 6.6375 4.7442 -4.9525 4.1577 3.2089 5.9930 -4.2145" Properties=species:S:1:pos:R:3 pbc="T T T"
Ce -2.0904 0.7837 3.3188
Ce -0.4859 3.7802 1.2115
Ce 0.0000 0.0000 0.0000
Ce 1.6044 2.9965 -2.1073
Sm 0.2817 -1.6925 5.3976
Sm 1.8861 1.3040 3.2903
Sm 3.9765 0.5203 -0.0284
Dy 2.3721 -2.4762 2.0788
S 5.7086 2.6830 0.5186
S 4.0821 -0.3547 2.6549
S 1.7568 2.1493 0.5990
S 3.5894 3.4775 3.8831
S 0.1829 -0.8696 2.6976
S 2.0154 0.4586 5.9816
S -0.3098 2.9626 3.9257
S -1.9363 -0.0751 6.0620
```